No. 1
Li6InHg | OQMD | PBE-GGA | optimized geometry; calculated volume = 138.6 Å³/f.u.; electronic total energy = -16.42 eV for the cell shown; space-group type = No. 187
1.0
5.793 0.000 0.000
-2.897 5.017 0.000
0.000 0.000 4.770
Hg In Li
1 1 6
Direct
0.000 0.000 0.000
0.333 0.667 0.500
0.009 0.505 0.000
0.495 0.505 0.000
0.495 0.991 0.000
0.328 0.164 0.500
0.836 0.164 0.500
0.836 0.672 0.500

=====

No. 2
Li4InHg5 | OQMD | PBE-GGA | optimized geometry; calculated volume = 198.6 Å³/f.u.; electronic total energy = -14.90 eV for the cell shown; space-group type = No. 123
1.0
3.358 0.000 0.000
0.000 3.358 0.000
0.000 0.000 17.608
Hg In Li
5 1 4
Direct
0.500 0.500 0.127
0.500 0.500 0.315
0.500 0.500 0.500
0.500 0.500 0.685
0.500 0.500 0.873
0.000 0.000 0.000
0.000 0.000 0.220
0.000 0.000 0.407
0.000 0.000 0.593
0.000 0.000 0.780

=====

No. 3
Li4MgIn2Hg | OQMD | PBE-GGA | optimized geometry; calculated volume = 151.5 Å³/f.u.; electronic total energy = -17.17 eV for the cell shown; space-group type = No. 115
1.0
-1.966 -2.226 3.699
1.063 -4.189 -1.956
5.939 0.027 3.172
Hg In Li Mg
1 2 4 1
Direct
0.500 0.500 0.000
0.500 0.000 0.255
0.000 0.500 0.745
0.000 0.000 0.000
0.000 0.500 0.234
0.500 0.500 0.500
0.500 0.000 0.766
0.000 0.000 0.500

=====

No. 4
Li4Mg2InHg | OQMD | PBE-GGA | optimized geometry; calculated volume = 149.5 Å³/f.u.; electronic total energy = -15.85 eV for the cell shown; space-group type = No. 115
1.0
-3.855 -0.688 -2.658
2.610 -2.341 -3.179
-1.202 -5.719 3.224
Hg In Li Mg
1 1 4 2
Direct
0.000 0.000 0.000
0.500 0.500 0.500
0.500 0.500 0.000
0.500 0.000 0.247
0.000 0.000 0.500
0.000 0.500 0.753
0.000 0.500 0.242
0.500 0.000 0.758